Here is a geometry-optimized FeNiF5 structure from Alexandria. Energies are from GGA+U.

Properties
The calculation puts the total energy at -4.724 eV/atom. The density of states at the Fermi level comes out at 0.0 states/eV/f.u. The calculation puts the spin magnetization at 27.84 μB per cell.

a = 7.970 Å, b = 7.016 Å, c = 8.028 Å
α = 90.00°, β = 118.79°, γ = 90.00°
Space group C2/c (No. 15)
Asymmetric unit:
Fe1 0.250 0.250 0.000
Ni1 0.000 0.096 0.250
F1 0.000 0.227 0.750
F2 0.113 0.267 0.141
F3 0.224 0.025 0.494